Entry 1:
VASP calculation (PBE-GGA) on a relaxed structure of PRuSCl2.

Its offset from the most stable computed form is 27.4 kJ per mole of atoms. The uncorrected formation energy is 400.6 kJ/mol of formula units.

The space group is P4/mmm (No. 123) and the conventional cell measures 4.758, 4.758 and 4.650 Å, with angles of 90.00, 90.00 and 90.00 degrees. Symmetry generates all atoms from P at (0.000, 0.000, 0.000), Ru at (0.500, 0.500, 0.500), S at (0.000, 0.000, 0.500) and Cl at (0.000, 0.500, 0.000).



Entry 2:
VASP calculation (PBE-GGA) on a relaxed structure of P2RuSCl.

Its offset from the most stable computed form is 104.3 kJ per mole of atoms. The uncorrected formation energy is 788.3 kJ/mol of formula units.

The space group is P4/mmm (No. 123) and the conventional cell measures 4.387, 4.387 and 4.561 Å, with angles of 90.00, 90.00 and 90.00 degrees. Symmetry generates all atoms from P at (0.000, 0.500, 0.000), Ru at (0.000, 0.000, 0.500), S at (0.500, 0.500, 0.500) and Cl at (0.500, 0.500, 0.000).



Entry 3:
VASP calculation (PBE-GGA) on a relaxed structure of P2RuSCl.

Its offset from the most stable computed form is 5.4 kJ per mole of atoms. The uncorrected formation energy is 293.9 kJ/mol of formula units.

The space group is P4/mmm (No. 123) and the conventional cell measures 4.575, 4.575 and 4.692 Å, with angles of 90.00, 90.00 and 90.00 degrees. Symmetry generates all atoms from P at (0.000, 0.500, 0.000), Ru at (0.000, 0.000, 0.000), S at (0.500, 0.500, 0.500) and Cl at (0.000, 0.000, 0.500).



Entry 4:
VASP calculation (PBE-GGA) on a relaxed structure of P2RuSCl.

Its offset from the most stable computed form is 73.0 kJ per mole of atoms. The uncorrected formation energy is 632.0 kJ/mol of formula units.

The space group is P4/mmm (No. 123) and the conventional cell measures 4.531, 4.531 and 4.416 Å, with angles of 90.00, 90.00 and 90.00 degrees. Symmetry generates all atoms from P at (0.000, 0.500, 0.000), Ru at (0.000, 0.000, 0.500), S at (0.500, 0.500, 0.000) and Cl at (0.500, 0.500, 0.500).



Entry 5:
VASP calculation (PBE-GGA) on a relaxed structure of PRuSCl2.

Its offset from the most stable computed form is 0.0 kJ per mole of atoms. The uncorrected formation energy is 263.4 kJ/mol of formula units.

The space group is P4/mmm (No. 123) and the conventional cell measures 4.706, 4.706 and 4.648 Å, with angles of 90.00, 90.00 and 90.00 degrees. Symmetry generates all atoms from P at (0.000, 0.000, 0.000), Ru at (0.000, 0.000, 0.500), S at (0.500, 0.500, 0.000) and Cl at (0.000, 0.500, 0.500).



Entry 6:
VASP calculation (PBE-GGA) on a relaxed structure of PRuSCl2.

Its offset from the most stable computed form is 64.8 kJ per mole of atoms. The uncorrected formation energy is 587.5 kJ/mol of formula units.

The space group is P4/mmm (No. 123) and the conventional cell measures 4.488, 4.488 and 5.137 Å, with angles of 90.00, 90.00 and 90.00 degrees. Symmetry generates all atoms from P at (0.000, 0.000, 0.000), Ru at (0.500, 0.500, 0.000), S at (0.000, 0.000, 0.500) and Cl at (0.000, 0.500, 0.500).



Entry 7:
VASP calculation (PBE-GGA) on a relaxed structure of SbP2RuCl.

Its offset from the most stable computed form is 0.0 kJ per mole of atoms. The uncorrected formation energy is 195.2 kJ/mol of formula units.

The space group is P4/mmm (No. 123) and the conventional cell measures 4.604, 4.604 and 4.856 Å, with angles of 90.00, 90.00 and 90.00 degrees. Symmetry generates all atoms from Sb at (0.000, 0.000, 0.000), P at (0.000, 0.500, 0.500), Ru at (0.500, 0.500, 0.500) and Cl at (0.500, 0.500, 0.000).



Entry 8:
VASP calculation (PBE-GGA) on a relaxed structure of SbP2RuCl.

Its offset from the most stable computed form is 98.5 kJ per mole of atoms. The uncorrected formation energy is 687.7 kJ/mol of formula units.

The space group is P4/mmm (No. 123) and the conventional cell measures 5.074, 5.074 and 5.035 Å, with angles of 90.00, 90.00 and 90.00 degrees. Symmetry generates all atoms from Sb at (0.000, 0.000, 0.000), P at (0.000, 0.500, 0.000), Ru at (0.500, 0.500, 0.500) and Cl at (0.000, 0.000, 0.500).